# 1
Here is a relaxed TbHo2Pd2 crystal from Alexandria. Energies are from PBE.

Geometry as CIF:
```
data_TbHo2Pd2
_cell_length_a 4.6524
_cell_length_b 4.6523
_cell_length_c 7.1062
_cell_angle_alpha 113.61
_cell_angle_beta 113.61
_cell_angle_gamma 89.80
_symmetry_space_group_name_H-M 'P 1'
_symmetry_Int_Tables_number 1
loop_
_symmetry_equiv_pos_as_xyz
'x,y,z'
loop_
_atom_site_label
_atom_site_type_symbol
_atom_site_fract_x
_atom_site_fract_y
_atom_site_fract_z
Tb1 Tb 0.0000 0.0000 0.0000
Pd1 Pd 0.5707 0.5707 0.2163
Pd2 Pd 0.4293 0.4293 0.7837
Ho1 Ho 0.2465 0.7535 0.5000
Ho2 Ho 0.7535 0.2465 0.5000
```

Summary:
For the energy above the most stable polymorph in this dataset, the calculation gives 0.972 eV/f.u. For the energy, the calculation gives -5.373 eV per atom. Its energy relative to the elements is -538.7 meV per atom.

***

# 2
Here is a relaxed Tb2HoPd3 crystal from Alexandria. Energies are from PBE.

Geometry as CIF:
```
data_Tb2HoPd3
_cell_length_a 3.4365
_cell_length_b 5.0191
_cell_length_c 15.0652
_cell_angle_alpha 90.00
_cell_angle_beta 90.00
_cell_angle_gamma 90.00
_symmetry_space_group_name_H-M 'P 1'
_symmetry_Int_Tables_number 1
loop_
_symmetry_equiv_pos_as_xyz
'x,y,z'
loop_
_atom_site_label
_atom_site_type_symbol
_atom_site_fract_x
_atom_site_fract_y
_atom_site_fract_z
Tb1 Tb 0.0003 0.5000 0.8335
Tb2 Tb 0.0003 0.5000 0.1665
Tb3 Tb 0.9997 0.0000 0.6665
Tb4 Tb 0.9997 0.0000 0.3335
Ho1 Ho 0.0007 0.0000 0.0000
Ho2 Ho 0.9993 0.5000 0.5000
Pd1 Pd 0.4998 0.5000 0.6642
Pd2 Pd 0.5004 0.5000 0.0000
Pd3 Pd 0.5002 0.0000 0.8358
Pd4 Pd 0.5002 0.0000 0.1642
Pd5 Pd 0.4996 0.0000 0.5000
Pd6 Pd 0.4998 0.5000 0.3358
```

Summary:
For the energy above the most stable polymorph in this dataset, the calculation gives 0.000 eV/f.u. For the energy, the calculation gives -5.785 eV per atom. Its energy relative to the elements is -882.2 meV per atom.

***

# 3
Here is a relaxed Tb3HoPd3 crystal from Alexandria. Energies are from PBE.

Geometry as CIF:
```
data_Tb3HoPd3
_cell_length_a 6.9762
_cell_length_b 6.9762
_cell_length_c 7.1128
_cell_angle_alpha 91.44
_cell_angle_beta 91.44
_cell_angle_gamma 97.20
_symmetry_space_group_name_H-M 'P 1'
_symmetry_Int_Tables_number 1
loop_
_symmetry_equiv_pos_as_xyz
'x,y,z'
loop_
_atom_site_label
_atom_site_type_symbol
_atom_site_fract_x
_atom_site_fract_y
_atom_site_fract_z
Tb1 Tb 0.2517 0.7483 0.0000
Tb2 Tb 0.7483 0.2517 0.0000
Tb3 Tb 0.1765 0.8235 0.5000
Tb4 Tb 0.6527 0.6527 0.3665
Tb5 Tb 0.3473 0.3473 0.6335
Tb6 Tb 0.8235 0.1765 0.5000
Pd1 Pd 0.9839 0.4985 0.7202
Pd2 Pd 0.0621 0.0621 0.8089
Pd3 Pd 0.9379 0.9379 0.1911
Pd4 Pd 0.4985 0.9839 0.7202
Pd5 Pd 0.5015 0.0161 0.2798
Pd6 Pd 0.0161 0.5015 0.2798
Ho1 Ho 0.2602 0.2602 0.1239
Ho2 Ho 0.7398 0.7398 0.8761
```

Summary:
For the energy, the calculation gives -5.556 eV per atom. Its energy relative to the elements is -692.5 meV per atom.

***

# 4
Here is a relaxed TbHoPd crystal from Alexandria. Energies are from PBE.

Geometry as CIF:
```
data_TbHoPd
_cell_length_a 3.7481
_cell_length_b 3.7481
_cell_length_c 7.1325
_cell_angle_alpha 74.77
_cell_angle_beta 74.77
_cell_angle_gamma 60.00
_symmetry_space_group_name_H-M 'P 1'
_symmetry_Int_Tables_number 1
loop_
_symmetry_equiv_pos_as_xyz
'x,y,z'
loop_
_atom_site_label
_atom_site_type_symbol
_atom_site_fract_x
_atom_site_fract_y
_atom_site_fract_z
Ho1 Ho 0.5309 0.5309 0.4074
Tb1 Tb 0.3469 0.3469 0.9592
Pd1 Pd 0.1076 0.1076 0.6772
```

Summary:
For the energy above the most stable polymorph in this dataset, the calculation gives 0.376 eV/f.u. For the energy, the calculation gives -5.236 eV per atom. Its energy relative to the elements is -436.0 meV per atom.

***

Which formula does entry 1 have? TbHo2Pd2

***

Which formula does entry 1 have? TbHo2Pd2

***

Which value of energy does entry 2 give? -5.785 eV per atom

***

What is the energy in the second record? -5.785 eV per atom